# 1
Y2Cd: single point on PBEsol structure, SCAN.

Output
Calculated total energy (hartree per atom): -1.067
Crystal system: orthorhombic
E_form (eV/atom): -0.321

POSCAR file:
```
Y2Cd
1.0
-3.047 -1.551 1.270
2.794 -2.357 3.823
0.254 7.351 4.348
Y Cd
4 2
Direct
0.586 0.250 0.172
0.414 0.750 0.828
0.275 0.250 0.550
0.725 0.750 0.450
0.930 0.250 0.860
0.070 0.750 0.140
```

# 2
NaMgRh3: single point on PBEsol structure, SCAN.

Output
Calculated total energy (hartree per atom): -0.774
Crystal system: cubic
E_form (eV/atom): 1.039

POSCAR file:
```
NaMgRh3
1.0
4.563 0.000 0.000
0.000 4.563 0.000
0.000 0.000 4.563
Na Mg Rh
1 1 3
Direct
0.500 0.500 0.500
0.000 0.000 0.000
0.000 0.500 0.000
0.000 0.000 0.500
0.500 0.000 0.000
```

# 3
RbYIn3: single point on PBEsol structure, SCAN.

Output
Calculated total energy (hartree per atom): -1.059
Crystal system: cubic
E_form (eV/atom): 0.934

POSCAR file:
```
RbYIn3
1.0
-4.348 2.877 -2.224
-1.606 -4.630 -2.849
-3.263 -1.555 4.367
Y Rb In
1 1 3
Direct
0.500 0.500 0.500
0.000 0.000 0.000
0.000 0.500 0.000
0.000 0.000 0.500
0.500 0.000 0.000
```